Compound: Ba2PdRhBr
Source: Alexandria
Functional: meta-GGA SCAN
Structure: PBEsol geometry

Cell: 4.657 6.055 6.055 Å, 90.00 90.00 90.00°
Atoms (fractional coordinates):
Br (0.500, 0.500, 0.500)
Rh (0.500, 0.000, 0.000)
Ba (0.000, 0.000, 0.500)
Ba (0.000, 0.500, 0.000)
Pd (0.000, 0.000, 0.000)

Values from the calculation:
magnetic moment = 0.00 μB/f.u.
symmetry = P4/mmm, No. 123
raw formation energy = -0.557 eV/atom